<1>
A plane-wave DFT calculation with GGA-PBE was carried out for an optimized crystal structure of DyTh2Bi.

The structure belongs to space group P2_1/m (No. 11); the cell edges are 4.681, 4.724 and 11.765 Å and the angles 90.00°, 101.54° and 90.00°. Symmetry generates all atoms from Dy at (0.190, 0.250, 0.378), Th at (0.057, 0.750, 0.113), Th at (0.438, 0.750, 0.877) and Bi at (0.325, 0.250, 0.652).

For the density, the calculation gives 10.89 Mg/m³.

=====

<2>
A plane-wave DFT calculation with GGA-PBE was carried out for an optimized crystal structure of DyTh2Bi.

The structure belongs to space group R-3m (No. 166, hexagonal axes); the cell edges are 3.5073, 3.5073 and 37.6350 Å and the angles 90.00°, 90.00° and 120.00°. Symmetry generates all atoms from Dy at (0.0000, 0.0000, 0.0000), Th at (0.0000, 0.0000, 0.4121) and Bi at (0.0000, 0.0000, 0.5000).

For the density, the calculation gives 10.38 Mg/m³.

=====

<3>
A plane-wave DFT calculation with GGA-PBE was carried out for an optimized crystal structure of DyTh2Bi.

The structure belongs to space group P4/mmm (No. 123); the cell edges are 4.761, 4.761 and 5.305 Å and the angles 90.00°, 90.00° and 90.00°. Symmetry generates all atoms from Dy at (0.000, 0.000, 0.000), Th at (0.000, 0.500, 0.500) and Bi at (0.500, 0.500, 0.000).

For the density, the calculation gives 11.54 Mg/m³.

=====

Which is the most stable structure? <1> is the most stable.

=====

<1>
A plane-wave DFT calculation with GGA-PBE was carried out for an optimized crystal structure of DyTh2Bi3.

The structure belongs to space group Immm (No. 71); the cell edges are 4.546, 6.455 and 13.706 Å and the angles 90.00°, 90.00° and 90.00°. Symmetry generates all atoms from Dy at (0.000, 0.000, 0.000), Th at (0.000, 0.000, 0.332), Bi at (0.000, 0.500, 0.000) and Bi at (0.000, 0.500, 0.339).

For the density, the calculation gives 10.35 Mg/m³.

=====

<2>
A plane-wave DFT calculation with GGA-PBE was carried out for an optimized crystal structure of DyTh2Bi3.

The structure belongs to space group C2/m (No. 12); the cell edges are 17.311, 4.561 and 11.027 Å and the angles 90.00°, 107.21° and 90.00°. Symmetry generates all atoms from Dy at (0.000, 0.000, 0.000), Dy at (0.000, 0.500, 0.500), Th at (0.167, 0.000, 0.835), Th at (0.168, 0.500, 0.337), Bi at (0.026, 0.500, 0.807), Bi at (0.134, 0.000, 0.528) and Bi at (0.192, 0.000, 0.139).

For the density, the calculation gives 10.01 Mg/m³.

=====

Which is the most stable structure? <1> is the most stable.